Computed, not measured: crystalline Tb4MgAlZn2 at its relaxed geometry at the PBE level of DFT.

V: 195 Å³/cell
DFT formation energy: -0.274 eV/atom
Size of the total moment: 0.000 μB/atom

a = 8.961 Å, b = 8.961 Å, c = 8.961 Å
α = 33.44°, β = 33.44°, γ = 33.44°
Fractional coordinates of all 8 atoms:
Tb 0.121 0.121 0.121
Tb 0.372 0.372 0.372
Tb 0.628 0.628 0.628
Tb 0.879 0.879 0.879
Mg 0.500 0.500 0.500
Al 0.000 0.000 0.000
Zn 0.245 0.245 0.245
Zn 0.755 0.755 0.755